[1]
# MoPt2Cl PBE-GGA relaxed
# Fermi-level density of states (states/eV/atom): 0.99
# Symmetry: P2/m, No. 10
data_MoPt2Cl
_cell_length_a 4.5538
_cell_length_b 2.7950
_cell_length_c 5.2711
_cell_angle_alpha 90.00
_cell_angle_beta 105.03
_cell_angle_gamma 90.00
_symmetry_space_group_name_H-M 'P 1'
_symmetry_Int_Tables_number 1
_symmetry_space_group_name_Hall 'P 1'
loop_
_atom_site_label
_atom_site_type_symbol
_atom_site_fract_x
_atom_site_fract_y
_atom_site_fract_z
Mo1 Mo 0.0000 0.0000 0.0000
Pt1 Pt 0.0000 0.5000 0.5000
Pt2 Pt 0.5000 0.0000 0.5000
Cl1 Cl 0.5000 0.5000 0.0000

=====

[2]
# MoPt2Cl PBE-GGA relaxed
# Fermi-level density of states (states/eV/atom): 0.80
# Symmetry: R-3m, No. 166
data_MoPt2Cl
_cell_length_a 9.3581
_cell_length_b 9.3581
_cell_length_c 9.3581
_cell_angle_alpha 17.63
_cell_angle_beta 17.63
_cell_angle_gamma 17.63
_symmetry_space_group_name_H-M 'P 1'
_symmetry_Int_Tables_number 1
_symmetry_space_group_name_Hall 'P 1'
loop_
_atom_site_label
_atom_site_type_symbol
_atom_site_fract_x
_atom_site_fract_y
_atom_site_fract_z
Mo1 Mo 0.0000 0.0000 0.0000
Pt1 Pt 0.2550 0.2550 0.2550
Pt2 Pt 0.7450 0.7450 0.7450
Cl1 Cl 0.5000 0.5000 0.5000

=====

[3]
# MoPt2Cl PBE-GGA relaxed
# Fermi-level density of states (states/eV/atom): 1.19
# Symmetry: Pmmm, No. 47
data_MoPt2Cl
_cell_length_a 2.8672
_cell_length_b 3.9276
_cell_length_c 5.8001
_cell_angle_alpha 90.00
_cell_angle_beta 90.00
_cell_angle_gamma 90.00
_symmetry_space_group_name_H-M 'P 1'
_symmetry_Int_Tables_number 1
_symmetry_space_group_name_Hall 'P 1'
loop_
_atom_site_label
_atom_site_type_symbol
_atom_site_fract_x
_atom_site_fract_y
_atom_site_fract_z
Mo1 Mo 0.0000 0.0000 0.0000
Pt1 Pt 0.5000 0.5000 0.2364
Pt2 Pt 0.5000 0.5000 0.7636
Cl1 Cl 0.0000 0.0000 0.5000

=====

[4]
# MoPt2Cl PBE-GGA relaxed
# Fermi-level density of states (states/eV/atom): 1.06
# Symmetry: Immm, No. 71
data_MoPt2Cl
_cell_length_a 5.8114
_cell_length_b 5.8114
_cell_length_c 5.8114
_cell_angle_alpha 151.87
_cell_angle_beta 133.29
_cell_angle_gamma 55.42
_symmetry_space_group_name_H-M 'P 1'
_symmetry_Int_Tables_number 1
_symmetry_space_group_name_Hall 'P 1'
loop_
_atom_site_label
_atom_site_type_symbol
_atom_site_fract_x
_atom_site_fract_y
_atom_site_fract_z
Mo1 Mo 0.0000 0.0000 0.0000
Pt1 Pt 0.2297 0.7297 0.5000
Pt2 Pt 0.7703 0.2703 0.5000
Cl1 Cl 0.5000 0.5000 0.0000

=====

[5]
# MoPt2Cl PBE-GGA relaxed
# Fermi-level density of states (states/eV/atom): 1.16
# Symmetry: I4/mmm, No. 139
data_MoPt2Cl
_cell_length_a 5.0339
_cell_length_b 5.0339
_cell_length_c 5.0339
_cell_angle_alpha 133.91
_cell_angle_beta 133.91
_cell_angle_gamma 67.22
_symmetry_space_group_name_H-M 'P 1'
_symmetry_Int_Tables_number 1
_symmetry_space_group_name_Hall 'P 1'
loop_
_atom_site_label
_atom_site_type_symbol
_atom_site_fract_x
_atom_site_fract_y
_atom_site_fract_z
Mo1 Mo 0.0000 0.0000 0.0000
Pt1 Pt 0.2500 0.7500 0.5000
Pt2 Pt 0.7500 0.2500 0.5000
Cl1 Cl 0.5000 0.5000 0.0000

=====

[6]
# MoPt4Cl PBE-GGA relaxed
# Fermi-level density of states (states/eV/atom): 1.05
# Symmetry: F-43m, No. 216
data_MoPt4Cl
_cell_length_a 5.2993
_cell_length_b 5.2993
_cell_length_c 5.2993
_cell_angle_alpha 60.00
_cell_angle_beta 60.00
_cell_angle_gamma 60.00
_symmetry_space_group_name_H-M 'P 1'
_symmetry_Int_Tables_number 1
_symmetry_space_group_name_Hall 'P 1'
loop_
_atom_site_label
_atom_site_type_symbol
_atom_site_fract_x
_atom_site_fract_y
_atom_site_fract_z
Mo1 Mo 0.0000 0.0000 0.0000
Pt1 Pt 0.1241 0.6253 0.6253
Pt2 Pt 0.6253 0.1241 0.6253
Pt3 Pt 0.6253 0.6253 0.1241
Pt4 Pt 0.6253 0.6253 0.6253
Cl1 Cl 0.2500 0.2500 0.2500

=====

[7]
# MoPtCl PBE-GGA relaxed
# Fermi-level density of states (states/eV/atom): 0.94
# Symmetry: F-43m, No. 216
data_MoPtCl
_cell_length_a 4.2866
_cell_length_b 4.2866
_cell_length_c 4.2866
_cell_angle_alpha 60.00
_cell_angle_beta 60.00
_cell_angle_gamma 60.00
_symmetry_space_group_name_H-M 'P 1'
_symmetry_Int_Tables_number 1
_symmetry_space_group_name_Hall 'P 1'
loop_
_atom_site_label
_atom_site_type_symbol
_atom_site_fract_x
_atom_site_fract_y
_atom_site_fract_z
Mo1 Mo 0.0000 0.0000 0.0000
Pt1 Pt 0.2500 0.2500 0.2500
Cl1 Cl 0.7500 0.7500 0.7500

=====

[8]
# MoPt2Cl PBE-GGA relaxed
# Fermi-level density of states (states/eV/atom): 0.39
# Symmetry: Cm, No. 8
data_MoPt2Cl
_cell_length_a 4.6352
_cell_length_b 4.6352
_cell_length_c 6.7015
_cell_angle_alpha 95.76
_cell_angle_beta 95.76
_cell_angle_gamma 35.92
_symmetry_space_group_name_H-M 'P 1'
_symmetry_Int_Tables_number 1
_symmetry_space_group_name_Hall 'P 1'
loop_
_atom_site_label
_atom_site_type_symbol
_atom_site_fract_x
_atom_site_fract_y
_atom_site_fract_z
Mo1 Mo 0.0000 0.0000 0.0000
Pt1 Pt 0.4766 0.4766 0.3369
Pt2 Pt 0.7369 0.7369 0.1414
Cl1 Cl 0.4403 0.4403 0.7092

=====

[9]
# MoPt2Cl PBE-GGA relaxed
# Fermi-level density of states (states/eV/atom): 0.64
# Symmetry: Imm2, No. 44
data_MoPt2Cl
_cell_length_a 6.2554
_cell_length_b 6.2554
_cell_length_c 6.2554
_cell_angle_alpha 154.24
_cell_angle_beta 136.72
_cell_angle_gamma 51.05
_symmetry_space_group_name_H-M 'P 1'
_symmetry_Int_Tables_number 1
_symmetry_space_group_name_Hall 'P 1'
loop_
_atom_site_label
_atom_site_type_symbol
_atom_site_fract_x
_atom_site_fract_y
_atom_site_fract_z
Mo1 Mo 0.0000 0.0000 0.0000
Pt1 Pt 0.1891 0.6891 0.5000
Pt2 Pt 0.4325 0.4325 0.0000
Cl1 Cl 0.8100 0.3100 0.5000

=====

[10]
# MoPt2Cl PBE-GGA relaxed
# Fermi-level density of states (states/eV/atom): 0.61
# Symmetry: I-42d, No. 122
data_MoPt2Cl
_cell_length_a 6.2482
_cell_length_b 6.2482
_cell_length_c 6.2482
_cell_angle_alpha 117.74
_cell_angle_beta 117.74
_cell_angle_gamma 93.96
_symmetry_space_group_name_H-M 'P 1'
_symmetry_Int_Tables_number 1
_symmetry_space_group_name_Hall 'P 1'
loop_
_atom_site_label
_atom_site_type_symbol
_atom_site_fract_x
_atom_site_fract_y
_atom_site_fract_z
Mo1 Mo 0.0000 0.0000 0.0000
Mo2 Mo 0.7500 0.2500 0.5000
Pt1 Pt 0.1010 0.6250 0.9760
Pt2 Pt 0.3750 0.3510 0.4760
Pt3 Pt 0.6490 0.1250 0.0240
Pt4 Pt 0.8750 0.8990 0.5240
Cl1 Cl 0.2500 0.7500 0.5000
Cl2 Cl 0.5000 0.5000 0.0000

=====

[11]
# MoPt2Cl PBE-GGA relaxed
# Fermi-level density of states (states/eV/atom): 1.12
# Symmetry: Pmmm, No. 47
data_MoPt2Cl
_cell_length_a 2.8037
_cell_length_b 4.5784
_cell_length_c 5.1075
_cell_angle_alpha 90.00
_cell_angle_beta 90.00
_cell_angle_gamma 90.00
_symmetry_space_group_name_H-M 'P 1'
_symmetry_Int_Tables_number 1
_symmetry_space_group_name_Hall 'P 1'
loop_
_atom_site_label
_atom_site_type_symbol
_atom_site_fract_x
_atom_site_fract_y
_atom_site_fract_z
Mo1 Mo 0.0000 0.0000 0.0000
Pt1 Pt 0.0000 0.5000 0.5000
Pt2 Pt 0.5000 0.0000 0.5000
Cl1 Cl 0.5000 0.5000 0.0000

=====

[12]
# MoPtCl PBE-GGA relaxed
# Fermi-level density of states (states/eV/atom): 0.87
# Symmetry: P3m1, No. 156
data_MoPtCl
_cell_length_a 4.1152
_cell_length_b 4.1152
_cell_length_c 3.2772
_cell_angle_alpha 90.00
_cell_angle_beta 90.00
_cell_angle_gamma 120.00
_symmetry_space_group_name_H-M 'P 1'
_symmetry_Int_Tables_number 1
_symmetry_space_group_name_Hall 'P 1'
loop_
_atom_site_label
_atom_site_type_symbol
_atom_site_fract_x
_atom_site_fract_y
_atom_site_fract_z
Mo1 Mo 0.0000 0.0000 0.0000
Pt1 Pt 0.6667 0.3333 0.4517
Cl1 Cl 0.3333 0.6667 0.8666

=====

[13]
# MoPt2Cl PBE-GGA relaxed
# Fermi-level density of states (states/eV/atom): 0.88
# Symmetry: Fm-3m, No. 225
data_MoPt2Cl
_cell_length_a 4.5579
_cell_length_b 4.5579
_cell_length_c 4.5579
_cell_angle_alpha 60.00
_cell_angle_beta 60.00
_cell_angle_gamma 60.00
_symmetry_space_group_name_H-M 'P 1'
_symmetry_Int_Tables_number 1
_symmetry_space_group_name_Hall 'P 1'
loop_
_atom_site_label
_atom_site_type_symbol
_atom_site_fract_x
_atom_site_fract_y
_atom_site_fract_z
Mo1 Mo 0.0000 0.0000 0.0000
Pt1 Pt 0.2500 0.2500 0.2500
Pt2 Pt 0.7500 0.7500 0.7500
Cl1 Cl 0.5000 0.5000 0.5000

=====

[14]
# MoPt2Cl PBE-GGA relaxed
# Fermi-level density of states (states/eV/atom): 0.81
# Symmetry: R3m, No. 160
data_MoPt2Cl
_cell_length_a 9.7244
_cell_length_b 9.7244
_cell_length_c 9.7244
_cell_angle_alpha 17.01
_cell_angle_beta 17.01
_cell_angle_gamma 17.01
_symmetry_space_group_name_H-M 'P 1'
_symmetry_Int_Tables_number 1
_symmetry_space_group_name_Hall 'P 1'
loop_
_atom_site_label
_atom_site_type_symbol
_atom_site_fract_x
_atom_site_fract_y
_atom_site_fract_z
Mo1 Mo 0.0000 0.0000 0.0000
Pt1 Pt 0.4886 0.4886 0.4886
Pt2 Pt 0.7413 0.7413 0.7413
Cl1 Cl 0.2694 0.2694 0.2694

=====

[15]
# MoPt2Cl PBE-GGA relaxed
# Fermi-level density of states (states/eV/atom): 1.38
# Symmetry: C2/m, No. 12
data_MoPt2Cl
_cell_length_a 5.1360
_cell_length_b 5.1360
_cell_length_c 2.7902
_cell_angle_alpha 90.18
_cell_angle_beta 90.18
_cell_angle_gamma 118.14
_symmetry_space_group_name_H-M 'P 1'
_symmetry_Int_Tables_number 1
_symmetry_space_group_name_Hall 'P 1'
loop_
_atom_site_label
_atom_site_type_symbol
_atom_site_fract_x
_atom_site_fract_y
_atom_site_fract_z
Mo1 Mo 0.0000 0.0000 0.0000
Pt1 Pt 0.0000 0.5000 0.5000
Pt2 Pt 0.5000 0.0000 0.5000
Cl1 Cl 0.5000 0.5000 0.0000

=====

In the order shown, the computed formation energy (no corrections) values come out to 42.8 5.9 31.0 28.5 55.4 46.6 35.3 -3.6 27.1 54.9 45.1 42.4 63.1 -4.3 48.3 kJ per mole of atoms.